[1]
# ZrHgH3 (PBE, relaxed)
# Crystal system: cubic
# Calculated volume: 60 Å³/f.u.
# Energy relative to the lowest polymorph listed for this composition: 0.000 eV per atom
data_ZrHgH3
_cell_length_a 3.905
_cell_length_b 3.905
_cell_length_c 3.905
_cell_angle_alpha 90.00
_cell_angle_beta 90.00
_cell_angle_gamma 90.00
_symmetry_space_group_name_H-M 'P 1'
_symmetry_Int_Tables_number 1
loop_
_symmetry_equiv_pos_as_xyz
'x,y,z'
loop_
_atom_site_label
_atom_site_fract_x
_atom_site_fract_y
_atom_site_fract_z
H1 0.000 0.500 0.000
H2 0.000 0.000 0.500
H3 0.500 0.000 0.000
Hg1 0.500 0.500 0.500
Zr1 0.000 0.000 0.000


[2]
# In6GaI8 (PBE, relaxed)
# Crystal system: trigonal
# Calculated volume: 609 Å³/f.u.
# Uncorrected formation energy: -0.38 eV/atom
data_In6GaI8
_cell_length_a 5.141
_cell_length_b 11.695
_cell_length_c 11.695
_cell_angle_alpha 120.00
_cell_angle_beta 90.00
_cell_angle_gamma 90.00
_symmetry_space_group_name_H-M 'P 1'
_symmetry_Int_Tables_number 1
loop_
_symmetry_equiv_pos_as_xyz
'x,y,z'
loop_
_atom_site_label
_atom_site_fract_x
_atom_site_fract_y
_atom_site_fract_z
In1 0.756 0.656 0.122
In2 0.756 0.878 0.534
In3 0.756 0.466 0.344
In4 0.244 0.344 0.878
In5 0.244 0.122 0.466
In6 0.244 0.534 0.656
Ga1 0.500 0.000 0.000
I1 0.742 0.971 0.263
I2 0.742 0.737 0.708
I3 0.742 0.292 0.029
I4 0.258 0.029 0.737
I5 0.258 0.263 0.292
I6 0.258 0.708 0.971
I7 0.742 0.333 0.667
I8 0.258 0.667 0.333


[3]
# Mg2H4Ir (PBE, relaxed)
# Crystal system: monoclinic
# Calculated volume: 70 Å³/f.u.
# Energy relative to the lowest polymorph listed for this composition: 0.000 eV per atom
data_Mg2H4Ir
_cell_length_a 4.568
_cell_length_b 4.568
_cell_length_c 4.614
_cell_angle_alpha 60.82
_cell_angle_beta 60.82
_cell_angle_gamma 90.04
_symmetry_space_group_name_H-M 'P 1'
_symmetry_Int_Tables_number 1
loop_
_symmetry_equiv_pos_as_xyz
'x,y,z'
loop_
_atom_site_label
_atom_site_fract_x
_atom_site_fract_y
_atom_site_fract_z
Mg1 0.751 0.249 0.500
Mg2 0.249 0.751 0.500
H1 0.259 0.741 0.000
H2 0.726 0.726 0.031
H3 0.274 0.274 0.969
H4 0.741 0.259 0.000
Ir1 0.000 0.000 0.000


[4]
# FeBBr2 (PBE, relaxed)
# Crystal system: tetragonal
# Calculated volume: 103 Å³/f.u.
# Energy relative to the lowest polymorph listed for this composition: 0.000 eV per atom
# Uncorrected formation energy: 1.01 eV/atom
data_FeBBr2
_cell_length_a 6.122
_cell_length_b 6.122
_cell_length_c 6.984
_cell_angle_alpha 64.01
_cell_angle_beta 64.01
_cell_angle_gamma 90.00
_symmetry_space_group_name_H-M 'P 1'
_symmetry_Int_Tables_number 1
loop_
_symmetry_equiv_pos_as_xyz
'x,y,z'
loop_
_atom_site_label
_atom_site_fract_x
_atom_site_fract_y
_atom_site_fract_z
B1 0.500 0.500 0.000
B2 0.250 0.750 0.500
Fe1 0.000 0.000 0.000
Fe2 0.750 0.250 0.500
Br1 0.658 0.125 0.250
Br2 0.092 0.625 0.250
Br3 0.375 0.342 0.750
Br4 0.875 0.908 0.750